Entry 1:
This record from Alexandria via LeMat-Bulk describes a relaxed structure of KY2Mg2. The functional is PBE.

Values from the calculation:
Calculated formation energy in eV per atom: 0.182
Crystal system: tetragonal
Energy above the lowest structure with this stoichiometry in kJ/mol of atoms: 0.0
Total magnetization in μB/f.u.: 0.0

```
KY2Mg2
1.0
9.828 0.000 0.000
0.000 9.828 0.000
0.000 0.000 3.439
K Y Mg
2 4 4
Cartesian
0.000 0.000 0.000
4.914 4.914 0.000
1.192 3.722 0.000
3.722 8.636 0.000
6.106 1.192 0.000
8.636 6.106 0.000
1.666 6.580 1.719
3.248 1.666 1.719
6.580 8.162 1.719
8.162 3.248 1.719
```

Entry 2:
This record from Alexandria via LeMat-Bulk describes a relaxed structure of Sr2TaTe. The functional is PBE.

Values from the calculation:
Uncorrected formation energy in meV per atom: 366
Crystal system: tetragonal
Energy above the lowest structure with this stoichiometry in kJ/mol of atoms: 30.3
Total magnetization in μB/f.u.: 3.0

```
Sr2TaTe
1.0
4.751 0.000 0.000
0.000 4.751 0.000
0.000 0.000 11.380
Sr Ta Te
4 2 2
Cartesian
0.000 0.000 0.000
0.000 2.376 2.845
2.376 0.000 8.535
2.376 2.376 5.690
0.000 2.376 8.535
2.376 0.000 2.845
0.000 0.000 5.690
2.376 2.376 0.000
```

Entry 3:
This record from Alexandria via LeMat-Bulk describes a relaxed structure of Sm3Br7N. The functional is PBE.

Values from the calculation:
Uncorrected formation energy in meV per atom: -1608
Crystal system: trigonal
Total magnetization in μB/f.u.: 1.1

```
Sm3Br7N
1.0
8.274 0.000 0.000
-4.137 7.166 0.000
0.000 0.000 7.063
Sm Br N
3 7 1
Cartesian
-1.944 3.655 0.000
1.944 3.655 0.000
0.000 7.022 0.000
0.000 2.412 5.316
-2.048 5.960 5.316
2.116 1.222 1.556
2.048 5.960 5.316
4.137 2.389 5.357
6.158 1.222 1.556
4.137 4.722 1.556
0.000 4.777 0.612
```

Entry 4:
This record from Alexandria via LeMat-Bulk describes a relaxed structure of NaU2NiS6. The functional is PBE.

Values from the calculation:
Uncorrected formation energy in meV per atom: -885
Crystal system: tetragonal
Total magnetization in μB/f.u.: 2.8

```
NaU2NiS6
1.0
5.773 0.000 0.000
0.000 5.773 0.000
0.000 0.000 7.679
Na U Ni S
1 2 1 6
Cartesian
0.000 0.000 0.000
0.000 2.886 3.858
2.886 0.000 3.858
2.886 2.886 2.727
0.000 0.000 4.944
1.417 1.417 2.111
1.417 4.355 2.111
2.886 2.886 5.011
4.355 1.417 2.111
4.355 4.355 2.111
```

Entry 5:
This record from Alexandria via LeMat-Bulk describes a relaxed structure of BeRe2. The functional is PBE.

Values from the calculation:
Calculated formation energy in eV per atom: 0.227
Crystal system: tetragonal
Energy above the lowest structure with this stoichiometry in kJ/mol of atoms: 48.1
Total magnetization in μB/f.u.: 0.0

```
BeRe2
1.0
-1.906 1.906 11.059
1.906 -1.906 11.059
1.906 1.906 -11.059
Be Re
4 8
Cartesian
1.906 0.953 0.988
1.906 0.953 4.541
0.000 0.953 6.517
0.000 0.953 10.071
1.906 -0.953 6.363
1.906 0.953 -2.659
1.906 -0.953 10.225
0.000 0.953 2.870
1.906 0.953 8.188
0.000 2.859 0.833
0.000 0.953 13.718
0.000 2.859 4.696
```

Entry 6:
This record from Alexandria via LeMat-Bulk describes a relaxed structure of Cs3Na2YI9. The functional is PBE.

Values from the calculation:
Uncorrected formation energy in meV per atom: -1290
Crystal system: trigonal
Total magnetization in μB/f.u.: 0.5

```
Cs3Na2YI9
1.0
8.637 0.000 0.000
-4.318 7.479 0.000
0.000 0.000 11.071
Cs Na Y I
3 2 1 9
Cartesian
0.000 0.000 0.000
0.000 4.986 7.499
4.318 2.493 3.572
0.000 4.986 1.857
4.318 2.493 9.214
0.000 0.000 5.535
-2.159 3.740 0.000
0.000 2.456 3.782
-2.191 6.251 3.782
2.127 1.228 7.289
4.318 0.000 0.000
2.159 3.740 0.000
2.191 6.251 3.782
6.509 1.228 7.289
4.318 5.023 7.289
```